i) VASP calculation (PBE) on crystalline Ba2TlTe at its relaxed geometry.

Cell lengths 5.982, 5.982, 5.982 Å; angles 60.00, 60.00, 60.00 degrees
Positions (direct):
Ba 0.000 0.000 0.000
Ba 0.250 0.250 0.250
Tl 0.750 0.750 0.750
Te 0.500 0.500 0.500

## Properties
* crystal system: cubic
* magnetic moment: 0.00 μB/atom

ii) VASP calculation (PBE) on crystalline Ba2TlTe at its relaxed geometry.

Cell lengths 9.656, 9.656, 9.656 Å; angles 28.69, 28.69, 28.69 degrees
Positions (direct):
Ba 0.243 0.243 0.243
Ba 0.757 0.757 0.757
Tl 0.000 0.000 0.000
Te 0.500 0.500 0.500

## Properties
* crystal system: trigonal
* magnetic moment: 0.18 μB/atom

Going by the energies, ii) is most stable and the next is 48.1 kJ/mol of atoms up.

i) VASP calculation (PBE) on crystalline BaTlTe3 at its relaxed geometry.

Cell lengths 5.830, 5.830, 5.830 Å; angles 90.00, 90.00, 90.00 degrees
Positions (direct):
Ba 0.000 0.000 0.000
Tl 0.500 0.500 0.500
Te 0.000 0.500 0.500
Te 0.500 0.000 0.500
Te 0.500 0.500 0.000

## Properties
* crystal system: cubic
* magnetic moment: 0.00 μB/atom

ii) VASP calculation (PBE) on crystalline BaTlTe3 at its relaxed geometry.

Cell lengths 6.566, 6.566, 6.566 Å; angles 90.00, 90.00, 90.00 degrees
Positions (direct):
Ba 0.000 0.000 0.000
Tl 0.500 0.500 0.500
Te 0.000 0.000 0.500
Te 0.000 0.500 0.000
Te 0.500 0.000 0.000

## Properties
* crystal system: cubic
* magnetic moment: 0.60 μB/atom

iii) VASP calculation (PBE) on crystalline BaTlTe3 at its relaxed geometry.

Cell lengths 8.645, 5.509, 17.171 Å; angles 90.00, 90.00, 90.00 degrees
Positions (direct):
Ba 0.192 0.250 0.191
Ba 0.308 0.750 0.691
Ba 0.692 0.250 0.309
Ba 0.808 0.750 0.809
Tl 0.175 0.750 0.404
Tl 0.325 0.250 0.904
Tl 0.675 0.750 0.096
Tl 0.825 0.250 0.596
Te 0.051 0.250 0.739
Te 0.184 0.250 0.571
Te 0.193 0.750 0.906
Te 0.307 0.250 0.406
Te 0.316 0.750 0.071
Te 0.449 0.750 0.239
Te 0.551 0.250 0.761
Te 0.684 0.250 0.929
Te 0.693 0.750 0.594
Te 0.807 0.250 0.094
Te 0.816 0.750 0.429
Te 0.949 0.750 0.261

## Properties
* crystal system: orthorhombic
* magnetic moment: 0.00 μB/atom

Going by the energies, iii) is most stable and the next is 30.5 kJ/mol of atoms up.

i) VASP calculation (PBE) on crystalline BaTmTe2 at its relaxed geometry.

Cell lengths 8.526, 8.526, 8.526 Å; angles 30.33, 30.33, 30.33 degrees
Positions (direct):
Ba 0.000 0.000 0.000
Tm 0.172 0.172 0.172
Te 0.573 0.573 0.573
Te 0.767 0.767 0.767

## Properties
* crystal system: trigonal
* magnetic moment: 0.04 μB/atom

ii) VASP calculation (PBE) on crystalline BaTmTe2 at its relaxed geometry.

Cell lengths 8.236, 8.236, 8.236 Å; angles 31.97, 31.97, 31.97 degrees
Positions (direct):
Ba 0.000 0.000 0.000
Tm 0.500 0.500 0.500
Te 0.237 0.237 0.237
Te 0.763 0.763 0.763

## Properties
* crystal system: trigonal
* magnetic moment: 0.00 μB/atom

Going by the energies, ii) is most stable and the next is 3.2 kJ/mol of atoms up.